Record 1
YTc2PbAu | PBE | optimized geometry

a = 5.059 Å, b = 5.059 Å, c = 5.208 Å
α = 90.00°, β = 90.00°, γ = 90.00°
Fractional coordinates of all 5 atoms:
Y: 0.000 0.000 0.000
Tc: 0.000 0.500 0.500
Tc: 0.500 0.000 0.500
Pb: 0.500 0.500 0.000
Au: 0.500 0.500 0.500

Properties
Density (Mg/m³): 8.58
DFT total energy (eV/atom): -5.517
Magnetization (μB per atom): 0.89
ΔE_f (eV per atom): 1.32

=====

Record 2
Te2PbAu | PBE | optimized geometry

a = 8.752 Å, b = 8.752 Å, c = 8.752 Å
α = 31.89°, β = 31.89°, γ = 31.89°
Fractional coordinates of all 4 atoms:
Te: 0.103 0.103 0.103
Te: 0.897 0.897 0.897
Pb: 0.500 0.500 0.500
Au: 0.000 0.000 0.000

Properties
Uncorrected formation energy (eV/atom): -0.02
Density (Mg/m³): 6.59
DFT total energy (eV/atom): -3.342
Magnetization (μB per atom): 0.00

=====

Record 3
Te2PbAu | PBE | optimized geometry

a = 8.238 Å, b = 8.238 Å, c = 8.238 Å
α = 131.80°, β = 131.80°, γ = 70.55°
Fractional coordinates of all 8 atoms:
Te: 0.081 0.625 0.956
Te: 0.375 0.331 0.456
Te: 0.669 0.125 0.044
Te: 0.875 0.919 0.544
Pb: 0.250 0.750 0.500
Pb: 0.500 0.500 0.000
Au: 0.000 0.000 0.000
Au: 0.750 0.250 0.500

Properties
Uncorrected formation energy (eV/atom): -0.08
Density (Mg/m³): 7.19
DFT total energy (eV/atom): -3.395
Magnetization (μB per atom): 0.00

=====

Record 4
Te4PbAu | PBE | optimized geometry

a = 6.367 Å, b = 6.367 Å, c = 6.367 Å
α = 60.00°, β = 60.00°, γ = 60.00°
Fractional coordinates of all 6 atoms:
Te: 0.124 0.124 0.124
Te: 0.124 0.124 0.627
Te: 0.124 0.627 0.124
Te: 0.627 0.124 0.124
Pb: 0.500 0.500 0.500
Au: 0.750 0.750 0.750

Properties
Uncorrected formation energy (eV/atom): 0.39
Density (Mg/m³): 8.32
DFT total energy (eV/atom): -2.865
Magnetization (μB per atom): 0.00

=====

Record 5
Te2PbAu | PBE | optimized geometry

a = 4.380 Å, b = 4.380 Å, c = 6.157 Å
α = 90.00°, β = 90.00°, γ = 90.00°
Fractional coordinates of all 4 atoms:
Te: 0.000 0.000 0.000
Te: 0.500 0.500 0.500
Pb: 0.000 0.000 0.500
Au: 0.500 0.500 0.000

Properties
Uncorrected formation energy (eV/atom): -0.07
Density (Mg/m³): 9.27
DFT total energy (eV/atom): -3.392
Magnetization (μB per atom): 0.00

=====

Record 6
Te2PbAu | PBE | optimized geometry

a = 5.139 Å, b = 5.139 Å, c = 4.237 Å
α = 90.00°, β = 90.00°, γ = 97.82°
Fractional coordinates of all 4 atoms:
Te: 0.000 0.500 0.000
Te: 0.500 0.000 0.000
Pb: 0.000 0.000 0.500
Au: 0.500 0.500 0.500

Properties
Uncorrected formation energy (eV/atom): 0.13
Density (Mg/m³): 9.88
DFT total energy (eV/atom): -3.189
Magnetization (μB per atom): 0.00